A plane-wave DFT calculation with GGA-PBEsol was carried out for a relaxed BaLi2Mg crystal.

```
data_BaLi2Mg
_cell_length_a 3.713
_cell_length_b 3.932
_cell_length_c 7.918
_cell_angle_alpha 90.00
_cell_angle_beta 90.00
_cell_angle_gamma 90.00
_symmetry_space_group_name_H-M 'P 1'
_symmetry_Int_Tables_number 1
_symmetry_space_group_name_Hall 'P 1'
loop_
_atom_site_label
_atom_site_type_symbol
_atom_site_fract_x
_atom_site_fract_y
_atom_site_fract_z
Li1 Li 0.000 0.000 0.181
Li2 Li 0.000 0.000 0.819
Mg1 Mg 0.500 0.500 0.000
Ba1 Ba 0.500 0.500 0.500
```

Properties
Space-group type = Pmmm, No. 47



A plane-wave DFT calculation with GGA-PBEsol was carried out for a relaxed Ta2HgPb crystal.

```
data_Ta2HgPb
_cell_length_a 3.511
_cell_length_b 4.703
_cell_length_c 4.758
_cell_angle_alpha 90.00
_cell_angle_beta 90.00
_cell_angle_gamma 90.00
_symmetry_space_group_name_H-M 'P 1'
_symmetry_Int_Tables_number 1
_symmetry_space_group_name_Hall 'P 1'
loop_
_atom_site_label
_atom_site_type_symbol
_atom_site_fract_x
_atom_site_fract_y
_atom_site_fract_z
Ta1 Ta 0.500 0.000 0.500
Ta2 Ta 0.000 0.000 0.000
Hg1 Hg 0.500 0.500 0.000
Pb1 Pb 0.000 0.500 0.500
```

Properties
Energy relative to the lowest polymorph listed for this composition = 0.20 eV/f.u.
Space-group type = Pmmm, No. 47



| no. | energy of formation (meV per atom) |
| --- | --- |
| 1 | 36 |
| 2 | 467 |